First-principles (GGA-PBE) data for a relaxed Li2SbPt2 crystal, as listed in Alexandria.

Computed properties:
- space group = Cmc2_1
- raw formation energy (eV/atom) = -0.553
- volume (Å³/atom) = 15.76
- DOS at the Fermi energy (states/eV/cell) = 4.115
- raw total energy (eV for the cell shown) = -45.6

abc: 4.4136 5.4601 6.9022
angles: 90.00 108.65 90.00
Fractional coordinates of all 10 atoms:
Li (0.7976, 0.3501, 0.5951)
Li (0.2024, 0.8501, 0.4049)
Li (0.9934, 0.3083, 0.9868)
Pt (0.8145, 0.8547, 0.6290)
Pt (0.1855, 0.3547, 0.3710)
Li (0.0066, 0.8083, 0.0132)
Pt (0.6096, 0.0550, 0.2192)
Pt (0.3904, 0.5550, 0.7808)
Sb (0.3954, 0.0662, 0.7907)
Sb (0.6046, 0.5662, 0.2093)

First-principles (GGA-PBE) data for a relaxed ZrBiBO5 crystal, as listed in Alexandria.

Computed properties:
- space group = C2/c
- raw formation energy (eV/atom) = -2.266
- volume (Å³/atom) = 12.39
- DOS at the Fermi energy (states/eV/cell) = 0.000
- raw total energy (eV for the cell shown) = -124.1

abc: 5.5108 5.5108 7.3609
angles: 103.06 103.06 106.65
Fractional coordinates of all 16 atoms:
O (0.2572, 0.4129, 0.6021)
O (0.8816, 0.3206, 0.1379)
O (0.6794, 0.1184, 0.3621)
O (0.9086, 0.0914, 0.7500)
B (0.3191, 0.6809, 0.7500)
B (0.6809, 0.3191, 0.2500)
O (0.4129, 0.2572, 0.1021)
O (0.7428, 0.5871, 0.3979)
O (0.3206, 0.8816, 0.6379)
Bi (0.6542, 0.3458, 0.7500)
O (0.1184, 0.6794, 0.8621)
Bi (0.3458, 0.6542, 0.2500)
Zr (0.0000, 0.0000, 0.0000)
O (0.0914, 0.9086, 0.2500)
Zr (0.0000, 0.0000, 0.5000)
O (0.5871, 0.7428, 0.8979)

First-principles (GGA-PBE) data for a relaxed Ac2ErGe3Ir4 crystal, as listed in Alexandria.

Computed properties:
- space group = P-4m2
- volume (Å³/atom) = 20.88
- DOS at the Fermi energy (states/eV/cell) = 5.770
- raw total energy (eV for the cell shown) = -69.9

abc: 4.2961 4.2961 11.3149
angles: 90.00 90.00 90.00
Fractional coordinates of all 10 atoms:
Er (0.5000, 0.5000, 0.5000)
Ge (0.0000, 0.5000, 0.1189)
Ac (0.0000, 0.5000, 0.7631)
Ir (0.5000, 0.5000, 0.0000)
Ge (0.0000, 0.0000, 0.5000)
Ir (0.0000, 0.0000, 0.0000)
Ir (0.5000, 0.0000, 0.6559)
Ge (0.5000, 0.0000, 0.8811)
Ir (0.0000, 0.5000, 0.3441)
Ac (0.5000, 0.0000, 0.2369)

First-principles (GGA-PBE) data for a relaxed Cs5CdP2 crystal, as listed in Alexandria.

Computed properties:
- space group = P6_3/mmc
- volume (Å³/atom) = 47.19
- DOS at the Fermi energy (states/eV/cell) = 3.638
- raw total energy (eV for the cell shown) = -35.3

abc: 6.4708 6.4708 20.8202
angles: 90.00 90.00 120.00
Fractional coordinates of all 16 atoms:
Cs (0.0000, 0.0000, 0.8629)
Cs (0.3333, 0.6667, 0.5403)
Cs (0.6667, 0.3333, 0.0403)
P (0.6667, 0.3333, 0.6331)
Cs (0.6667, 0.3333, 0.4597)
P (0.3333, 0.6667, 0.3669)
P (0.6667, 0.3333, 0.8669)
Cs (0.0000, 0.0000, 0.6371)
Cs (0.3333, 0.6667, 0.9597)
Cs (0.3333, 0.6667, 0.7500)
Cs (0.0000, 0.0000, 0.1371)
Cs (0.0000, 0.0000, 0.3629)
P (0.3333, 0.6667, 0.1331)
Cd (0.3333, 0.6667, 0.2500)
Cd (0.6667, 0.3333, 0.7500)
Cs (0.6667, 0.3333, 0.2500)

First-principles (GGA-PBE) data for a relaxed CaCd2SnPd4 crystal, as listed in Alexandria.

Computed properties:
- space group = R-3m
- volume (Å³/atom) = 18.59
- DOS at the Fermi energy (states/eV/cell) = 3.575
- raw total energy (eV for the cell shown) = -32.9

abc: 4.7360 4.7360 8.1316
angles: 73.07 73.07 60.00
Fractional coordinates of all 8 atoms:
Pd (0.8681, 0.8681, 0.3956)
Sn (0.5000, 0.5000, 0.5000)
Pd (0.6168, 0.6168, 0.1496)
Cd (0.7449, 0.7449, 0.7653)
Pd (0.1319, 0.1319, 0.6044)
Cd (0.2551, 0.2551, 0.2347)
Ca (0.0000, 0.0000, 0.0000)
Pd (0.3832, 0.3832, 0.8504)

First-principles (GGA-PBE) data for a relaxed MnBrCl crystal, as listed in Alexandria.

Computed properties:
- space group = P2_1/c
- raw formation energy (eV/atom) = -0.932
- volume (Å³/atom) = 29.10
- DOS at the Fermi energy (states/eV/cell) = 0.000
- raw total energy (eV for the cell shown) = -61.9

abc: 6.5690 7.5805 7.3486
angles: 90.00 107.41 90.00
Fractional coordinates of all 12 atoms:
Mn (0.2529, 0.8751, 0.4961)
Cl (0.1479, 0.6292, 0.6893)
Br (0.1572, 0.1201, 0.7244)
Cl (0.8521, 0.3708, 0.3107)
Br (0.6572, 0.3799, 0.7244)
Mn (0.7471, 0.1249, 0.5039)
Cl (0.6479, 0.8708, 0.6893)
Mn (0.7529, 0.6249, 0.4961)
Br (0.8428, 0.8799, 0.2756)
Cl (0.3521, 0.1292, 0.3107)
Br (0.3428, 0.6201, 0.2756)
Mn (0.2471, 0.3751, 0.5039)

First-principles (GGA-PBE) data for a relaxed Pm2SmDy3 crystal, as listed in Alexandria.

Computed properties:
- space group = C2/m
- volume (Å³/atom) = 33.44
- DOS at the Fermi energy (states/eV/cell) = 18.600
- raw total energy (eV for the cell shown) = -54.6

abc: 3.5126 10.3157 11.8038
angles: 108.22 98.56 90.00
Fractional coordinates of all 12 atoms:
Dy (0.3052, 0.2847, 0.6104)
Dy (0.9312, 0.2363, 0.8624)
Sm (0.3124, 0.9627, 0.6249)
Dy (0.4410, 0.5548, 0.8820)
Pm (0.3088, 0.6285, 0.6176)
Pm (0.6912, 0.3715, 0.3824)
Dy (0.0688, 0.7637, 0.1376)
Pm (0.9320, 0.8625, 0.8640)
Sm (0.6876, 0.0373, 0.3751)
Dy (0.6948, 0.7153, 0.3896)
Pm (0.0680, 0.1375, 0.1360)
Dy (0.5590, 0.4452, 0.1180)

First-principles (GGA-PBE) data for a relaxed RhPbS crystal, as listed in Alexandria.

Computed properties:
- space group = P2_13
- raw formation energy (eV/atom) = -0.297
- volume (Å³/atom) = 20.06
- DOS at the Fermi energy (states/eV/cell) = 8.937
- raw total energy (eV for the cell shown) = -64.3

abc: 6.2202 6.2202 6.2202
angles: 90.00 90.00 90.00
Fractional coordinates of all 12 atoms:
S (0.1231, 0.8769, 0.3769)
Rh (0.4568, 0.9568, 0.5432)
Rh (0.0432, 0.0432, 0.0432)
Rh (0.5432, 0.4568, 0.9568)
Pb (0.8618, 0.1382, 0.6382)
Rh (0.9568, 0.5432, 0.4568)
S (0.6231, 0.6231, 0.6231)
S (0.3769, 0.1231, 0.8769)
Pb (0.1382, 0.6382, 0.8618)
Pb (0.3618, 0.3618, 0.3618)
S (0.8769, 0.3769, 0.1231)
Pb (0.6382, 0.8618, 0.1382)

First-principles (GGA-PBE) data for a relaxed ScCu crystal, as listed in Alexandria.

Computed properties:
- space group = P6_3/mmc
- volume (Å³/atom) = 23.44
- DOS at the Fermi energy (states/eV/cell) = 3.398
- raw total energy (eV for the cell shown) = -19.3

abc: 4.4831 4.4831 5.3869
angles: 90.00 90.00 120.00
Fractional coordinates of all 4 atoms:
Sc (0.3333, 0.6667, 0.2500)
Cu (0.3333, 0.6667, 0.7500)
Cu (0.6667, 0.3333, 0.2500)
Sc (0.6667, 0.3333, 0.7500)

First-principles (GGA-PBE) data for a relaxed Te2HS crystal, as listed in Alexandria.

Computed properties:
- space group = I-42d
- volume (Å³/atom) = 21.75
- DOS at the Fermi energy (states/eV/cell) = 6.268
- raw total energy (eV for the cell shown) = -22.8

abc: 6.2462 6.2462 6.2765
angles: 60.16 60.16 90.00
Fractional coordinates of all 8 atoms:
Te (0.3750, 0.4502, 0.7500)
Te (0.2002, 0.6250, 0.2500)
S (0.0000, 0.0000, 0.0000)
H (0.5000, 0.5000, 0.0000)
Te (0.5498, 0.1250, 0.2500)
Te (0.8750, 0.7998, 0.7500)
S (0.7500, 0.2500, 0.5000)
H (0.2500, 0.7500, 0.5000)

First-principles (GGA-PBE) data for a relaxed Ac6Cd3Ir2Pt crystal, as listed in Alexandria.

Computed properties:
- space group = C2/m
- volume (Å³/atom) = 34.81
- DOS at the Fermi energy (states/eV/cell) = 10.234
- raw total energy (eV for the cell shown) = -58.0

abc: 7.5496 7.5496 8.8190
angles: 98.19 98.19 119.90
Fractional coordinates of all 12 atoms:
Ac (0.4066, 0.0657, 0.1966)
Ir (0.6673, 0.3327, 0.0000)
Ac (0.9343, 0.5934, 0.8034)
Cd (0.1595, 0.8405, 0.5000)
Ac (0.2763, 0.2763, 0.8067)
Ac (0.5934, 0.9343, 0.8034)
Cd (0.5000, 0.5000, 0.5000)
Cd (0.8405, 0.1595, 0.5000)
Ir (0.3327, 0.6673, 0.0000)
Ac (0.0657, 0.4066, 0.1966)
Pt (0.0000, 0.0000, 0.0000)
Ac (0.7237, 0.7237, 0.1933)

First-principles (GGA-PBE) data for a relaxed CrRuN2 crystal, as listed in Alexandria.

Computed properties:
- space group = R-3m
- raw formation energy (eV/atom) = 0.121
- volume (Å³/atom) = 10.11
- DOS at the Fermi energy (states/eV/cell) = 3.075
- raw total energy (eV for the cell shown) = -35.1

abc: 6.5001 6.5001 6.5001
angles: 24.16 24.16 24.16
Fractional coordinates of all 4 atoms:
N (0.8959, 0.8959, 0.8959)
Ru (0.0000, 0.0000, 0.0000)
Cr (0.5000, 0.5000, 0.5000)
N (0.1041, 0.1041, 0.1041)

First-principles (GGA-PBE) data for a relaxed Cs2AgSnO4 crystal, as listed in Alexandria.

Computed properties:
- space group = Fddd
- raw formation energy (eV/atom) = -1.008
- volume (Å³/atom) = 27.16
- DOS at the Fermi energy (states/eV/cell) = 3.493
- raw total energy (eV for the cell shown) = -72.9

abc: 6.0132 7.3436 11.1977
angles: 83.69 74.42 65.83
Fractional coordinates of all 16 atoms:
Cs (0.9328, 0.5000, 0.1343)
Cs (0.1829, 0.0000, 0.6343)
Ag (0.5000, 0.0000, 0.0000)
O (0.2778, 0.8120, 0.0741)
Sn (0.7500, 0.5000, 0.5000)
O (0.8399, 0.6880, 0.5741)
O (0.5860, 0.3120, 0.5741)
Sn (0.0000, 0.0000, 0.0000)
Cs (0.8172, 0.0000, 0.3657)
O (0.1019, 0.3120, 0.4259)
Cs (0.5672, 0.5000, 0.8657)
Ag (0.2500, 0.5000, 0.5000)
O (0.6481, 0.1880, 0.0741)
O (0.4722, 0.6880, 0.4259)
O (0.1640, 0.1880, 0.9259)
O (0.9101, 0.8120, 0.9259)

First-principles (GGA-PBE) data for a relaxed NdYSnRh crystal, as listed in Alexandria.

Computed properties:
- space group = F-43m
- volume (Å³/atom) = 24.77
- DOS at the Fermi energy (states/eV/cell) = 2.611
- raw total energy (eV for the cell shown) = -25.0

abc: 5.1942 5.1942 5.1942
angles: 60.00 60.00 60.00
Fractional coordinates of all 4 atoms:
Nd (0.0000, 0.0000, 0.0000)
Sn (0.7500, 0.7500, 0.7500)
Y (0.5000, 0.5000, 0.5000)
Rh (0.2500, 0.2500, 0.2500)

First-principles (GGA-PBE) data for a relaxed Cs2Pr2Te2Se crystal, as listed in Alexandria.

Computed properties:
- space group = I4/mmm
- raw formation energy (eV/atom) = -1.195
- volume (Å³/atom) = 43.87
- DOS at the Fermi energy (states/eV/cell) = 5.730
- raw total energy (eV for the cell shown) = -29.4

abc: 5.6740 5.6740 10.3475
angles: 105.91 105.91 90.00
Fractional coordinates of all 7 atoms:
Cs (0.8144, 0.8144, 0.6288)
Pr (0.5000, 0.0000, 0.0000)
Te (0.3944, 0.3944, 0.7887)
Pr (0.0000, 0.5000, 0.0000)
Se (0.0000, 0.0000, 0.0000)
Cs (0.1856, 0.1856, 0.3712)
Te (0.6056, 0.6056, 0.2113)

First-principles (GGA-PBE) data for a relaxed KNaSnBi crystal, as listed in Alexandria.

Computed properties:
- space group = F-43m
- volume (Å³/atom) = 32.86
- DOS at the Fermi energy (states/eV/cell) = 0.992
- raw total energy (eV for the cell shown) = -10.9

abc: 5.7072 5.7072 5.7072
angles: 60.00 60.00 60.00
Fractional coordinates of all 4 atoms:
Sn (0.5000, 0.5000, 0.5000)
Na (0.2500, 0.2500, 0.2500)
Bi (0.7500, 0.7500, 0.7500)
K (0.0000, 0.0000, 0.0000)

First-principles (GGA-PBE) data for a relaxed CsAl2Ge2 crystal, as listed in Alexandria.

Computed properties:
- space group = I4/mmm
- volume (Å³/atom) = 27.50
- DOS at the Fermi energy (states/eV/cell) = 0.976
- raw total energy (eV for the cell shown) = -18.3

abc: 4.0274 4.0274 8.9422
angles: 76.99 76.99 90.00
Fractional coordinates of all 5 atoms:
Al (0.7500, 0.2500, 0.5000)
Ge (0.6487, 0.6487, 0.7026)
Al (0.2500, 0.7500, 0.5000)
Cs (0.0000, 0.0000, 0.0000)
Ge (0.3513, 0.3513, 0.2974)

First-principles (GGA-PBE) data for a relaxed MgFePb2 crystal, as listed in Alexandria.

Computed properties:
- space group = I4/mmm
- volume (Å³/atom) = 22.85
- DOS at the Fermi energy (states/eV/cell) = 3.172
- raw total energy (eV for the cell shown) = -15.9

abc: 5.3105 5.3105 5.3105
angles: 127.51 127.51 77.42
Fractional coordinates of all 4 atoms:
Mg (0.7500, 0.2500, 0.5000)
Fe (0.2500, 0.7500, 0.5000)
Pb (0.5000, 0.5000, 0.0000)
Pb (0.0000, 0.0000, 0.0000)

First-principles (GGA-PBE) data for a relaxed TcPtC2 crystal, as listed in Alexandria.

Computed properties:
- space group = Fm-3m
- volume (Å³/atom) = 10.24
- DOS at the Fermi energy (states/eV/cell) = 1.537
- raw total energy (eV for the cell shown) = -29.0

abc: 3.8698 3.8698 3.8698
angles: 60.00 60.00 60.00
Fractional coordinates of all 4 atoms:
C (0.2500, 0.2500, 0.2500)
Tc (0.0000, 0.0000, 0.0000)
C (0.7500, 0.7500, 0.7500)
Pt (0.5000, 0.5000, 0.5000)

First-principles (GGA-PBE) data for a relaxed KPS2O crystal, as listed in Alexandria.

Computed properties:
- space group = P4/mmm
- raw formation energy (eV/atom) = -0.360
- volume (Å³/atom) = 17.46
- DOS at the Fermi energy (states/eV/cell) = 3.050
- raw total energy (eV for the cell shown) = -21.5

abc: 5.0644 3.4044 5.0644
angles: 90.00 90.00 90.00
Fractional coordinates of all 5 atoms:
S (0.5000, 0.0000, 0.0000)
P (0.0000, 0.0000, 0.0000)
K (0.5000, 0.5000, 0.5000)
O (0.0000, 0.5000, 0.0000)
S (0.0000, 0.0000, 0.5000)

First-principles (GGA-PBE) data for a relaxed PmHgOs2O8 crystal, as listed in Alexandria.

Computed properties:
- space group = P-3m1
- raw formation energy (eV/atom) = -1.300
- volume (Å³/atom) = 23.76
- DOS at the Fermi energy (states/eV/cell) = 8.104
- raw total energy (eV for the cell shown) = -82.8

abc: 6.2997 6.2997 8.2969
angles: 90.00 90.00 120.00
Fractional coordinates of all 12 atoms:
Pm (0.0000, 0.0000, 0.5000)
O (0.3333, 0.6667, 0.9405)
O (0.6398, 0.8193, 0.6514)
O (0.3602, 0.1807, 0.3486)
Hg (0.0000, 0.0000, 0.0000)
Os (0.3333, 0.6667, 0.7311)
O (0.1794, 0.3602, 0.6514)
O (0.1807, 0.8206, 0.6514)
Os (0.6667, 0.3333, 0.2689)
O (0.6667, 0.3333, 0.0595)
O (0.8193, 0.1794, 0.3486)
O (0.8206, 0.6398, 0.3486)

First-principles (GGA-PBE) data for a relaxed Cs2KMgCl5 crystal, as listed in Alexandria.

Computed properties:
- space group = Immm
- raw formation energy (eV/atom) = -1.907
- volume (Å³/atom) = 33.90
- DOS at the Fermi energy (states/eV/cell) = 0.000
- raw total energy (eV for the cell shown) = -30.8

abc: 5.0225 7.4874 9.2822
angles: 113.79 105.70 90.00
Fractional coordinates of all 9 atoms:
Cs (0.2093, 0.2093, 0.4185)
Cl (0.0000, 0.0000, 0.0000)
Cl (0.6107, 0.8667, 0.2214)
Cl (0.6107, 0.3546, 0.2214)
Cs (0.7907, 0.7907, 0.5815)
K (0.0000, 0.5000, 0.0000)
Cl (0.3893, 0.6454, 0.7786)
Cl (0.3893, 0.1333, 0.7786)
Mg (0.5000, 0.0000, 0.0000)

First-principles (GGA-PBE) data for a relaxed HoTlCl4 crystal, as listed in Alexandria.

Computed properties:
- space group = C2/c
- raw formation energy (eV/atom) = -1.885
- volume (Å³/atom) = 37.82
- DOS at the Fermi energy (states/eV/cell) = 0.000
- raw total energy (eV for the cell shown) = -51.3

abc: 6.8001 8.4152 9.6262
angles: 107.23 100.30 113.52
Fractional coordinates of all 12 atoms:
Ho (0.3172, 0.0672, 0.1344)
Cl (0.0642, 0.2332, 0.0943)
Cl (0.6426, 0.3870, 0.3411)
Ho (0.6828, 0.9328, 0.8656)
Tl (0.4323, 0.6823, 0.3647)
Cl (0.8015, 0.0458, 0.6589)
Cl (0.4699, 0.1388, 0.9057)
Cl (0.5301, 0.8612, 0.0943)
Cl (0.3574, 0.6130, 0.6589)
Cl (0.9358, 0.7668, 0.9057)
Cl (0.1985, 0.9542, 0.3411)
Tl (0.5677, 0.3177, 0.6353)